First-principles (PBE) data for a relaxed structure of BeCdIn2, as listed in Alexandria via LeMat-Bulk.

Lattice parameters (Å, degrees): 3.078 3.078 8.983 90.00 90.00 90.00
Space group P4mm (No. 99)
One atom of each set of equivalent atoms:
Be (0.000, 0.000, 0.000) (multiplicity 1)
Cd (0.500, 0.500, 0.174) (multiplicity 1)
In (0.000, 0.000, 0.466) (multiplicity 1)
In (0.500, 0.500, 0.788) (multiplicity 1)

First-principles (PBE) data for a relaxed structure of BeCd2In, as listed in Alexandria via LeMat-Bulk.

Lattice parameters (Å, degrees): 3.2815 3.2815 26.0126 90.00 90.00 120.00
Space group R3m (No. 160, hexagonal axes)
One atom of each set of equivalent atoms:
Be (0.0000, 0.0000, 0.0000) (multiplicity 3)
Cd (0.0000, 0.0000, 0.2649) (multiplicity 3)
Cd (0.0000, 0.0000, 0.5046) (multiplicity 3)
In (0.0000, 0.0000, 0.7413) (multiplicity 3)

First-principles (PBE) data for a relaxed structure of BeCdIn2, as listed in Alexandria via LeMat-Bulk.

Lattice parameters (Å, degrees): 5.900 8.508 3.429 90.00 92.96 90.00
Space group C2/m (No. 12)
One atom of each set of equivalent atoms:
Be (0.000, 0.000, 0.000) (multiplicity 2)
Cd (0.000, 0.500, 0.000) (multiplicity 2)
In (0.250, 0.250, 0.500) (multiplicity 4)

First-principles (PBE) data for a relaxed structure of BeCd2In, as listed in Alexandria via LeMat-Bulk.

Lattice parameters (Å, degrees): 3.086 3.086 8.361 90.00 90.00 90.00
Space group P4/mmm (No. 123)
One atom of each set of equivalent atoms:
Be (0.000, 0.000, 0.000) (multiplicity 1)
Cd (0.500, 0.500, 0.194) (multiplicity 2)
In (0.000, 0.000, 0.500) (multiplicity 1)

Number 1: total DFT energy (no corrections) -2.233 eV per atom. Number 2: total DFT energy (no corrections) -1.771 eV per atom. Number 3: total DFT energy (no corrections) -2.100 eV per atom. Number 4: total DFT energy (no corrections) -1.798 eV per atom.